Entry 1:
The following is a GGA-PBE calculation of CrPbI4 after structural relaxation, from the Alexandria database.

Unit cell a=4.359 b=7.392 c=7.809 alpha=92.17 beta=90.00 gamma=90.00
Positions (direct):
Cr 0.500 0.000 0.500
Pb 0.000 0.000 0.000
I 0.000 0.221 0.651
I 0.500 0.763 0.781
I 0.500 0.237 0.219
I 0.000 0.779 0.349

Magnetization: 0.6667 μB/atom
Fermi-level density of states: 5.11 states/eV/f.u.
Uncorrected formation energy: -425 meV per atom
Crystal system: monoclinic


Entry 2:
The following is a GGA-PBE calculation of CrPb3I after structural relaxation, from the Alexandria database.

Unit cell a=5.315 b=5.315 c=5.315 alpha=90.00 beta=90.00 gamma=90.00
Positions (direct):
Pb 0.000 0.500 0.000
Pb 0.000 0.000 0.500
Pb 0.500 0.000 0.000
I 0.500 0.500 0.500
Cr 0.000 0.000 0.000

Magnetization: 0.2000 μB/atom
Fermi-level density of states: 2.44 states/eV/f.u.
E above lowest polymorph: 0.0000 eV/atom
Uncorrected formation energy: 188 meV per atom
Crystal system: cubic


Entry 3:
The following is a GGA-PBE calculation of Rb2CrPbI6 after structural relaxation, from the Alexandria database.

Unit cell a=8.533 b=8.533 c=8.538 alpha=60.02 beta=60.02 gamma=90.00
Positions (direct):
Pb 0.000 0.000 0.000
I 0.264 0.264 0.472
I 0.736 0.736 0.528
I 0.264 0.264 0.000
I 0.736 0.736 0.000
I 0.736 0.264 0.000
I 0.264 0.736 0.000
Rb 0.750 0.250 0.500
Rb 0.250 0.750 0.500
Cr 0.500 0.500 0.000

Magnetization: 0.4000 μB/atom
Fermi-level density of states: 3.32 states/eV/f.u.
Uncorrected formation energy: -827 meV per atom
Crystal system: cubic


Entry 4:
The following is a GGA-PBE calculation of CrSb2PbI after structural relaxation, from the Alexandria database.

Unit cell a=5.114 b=5.114 c=5.857 alpha=90.00 beta=90.00 gamma=90.00
Positions (direct):
Pb 0.500 0.500 0.500
I 0.000 0.000 0.500
Cr 0.000 0.000 0.000
Sb 0.000 0.500 0.000
Sb 0.500 0.000 0.000

Magnetization: 0.4825 μB/atom
Fermi-level density of states: 3.22 states/eV/f.u.
E above lowest polymorph: 0.0000 eV/atom
Uncorrected formation energy: 317 meV per atom
Crystal system: tetragonal


Entry 5:
The following is a GGA-PBE calculation of CrSbPbI2 after structural relaxation, from the Alexandria database.

Unit cell a=6.206 b=6.206 c=6.075 alpha=90.00 beta=90.00 gamma=90.00
Positions (direct):
Pb 0.000 0.000 0.000
I 0.000 0.500 0.000
I 0.500 0.000 0.000
Cr 0.500 0.500 0.500
Sb 0.000 0.000 0.500

Magnetization: 1.2962 μB/atom
Fermi-level density of states: 9.85 states/eV/f.u.
E above lowest polymorph: 0.5551 eV/atom
Uncorrected formation energy: 746 meV per atom
Crystal system: tetragonal


Entry 6:
The following is a GGA-PBE calculation of CrSb2PbI after structural relaxation, from the Alexandria database.

Unit cell a=5.871 b=5.871 c=6.114 alpha=90.00 beta=90.00 gamma=90.00
Positions (direct):
Pb 0.000 0.000 0.000
I 0.000 0.000 0.500
Cr 0.500 0.500 0.500
Sb 0.000 0.500 0.000
Sb 0.500 0.000 0.000

Magnetization: 0.6824 μB/atom
Fermi-level density of states: 4.86 states/eV/f.u.
E above lowest polymorph: 0.7318 eV/atom
Uncorrected formation energy: 1049 meV per atom
Crystal system: tetragonal


Entry 7:
The following is a GGA-PBE calculation of CrSbPbI2 after structural relaxation, from the Alexandria database.

Unit cell a=5.465 b=5.465 c=5.453 alpha=90.00 beta=90.00 gamma=90.00
Positions (direct):
Pb 0.500 0.500 0.500
I 0.000 0.500 0.000
I 0.500 0.000 0.000
Cr 0.000 0.000 0.000
Sb 0.000 0.000 0.500

Magnetization: 0.6735 μB/atom
Fermi-level density of states: 4.57 states/eV/f.u.
E above lowest polymorph: 0.0000 eV/atom
Uncorrected formation energy: 191 meV per atom
Crystal system: tetragonal


Entry 8:
The following is a GGA-PBE calculation of SrCrPb2I after structural relaxation, from the Alexandria database.

Unit cell a=6.755 b=5.226 c=6.755 alpha=90.00 beta=90.00 gamma=90.00
Positions (direct):
Pb 0.000 0.000 0.500
Pb 0.500 0.000 0.000
I 0.000 0.000 0.000
Cr 0.000 0.500 0.000
Sr 0.500 0.500 0.500

Magnetization: 0.8230 μB/atom
Fermi-level density of states: 5.20 states/eV/f.u.
Uncorrected formation energy: 582 meV per atom
Crystal system: tetragonal